Y2Ga4PtAu3 (PBE, optimized geometry); spin magnetization = 0.00 μB/f.u.; total energy = -4.759 eV per atom
1.0
4.313 0.000 0.000
0.000 4.313 0.000
0.000 0.000 10.675
Y Ga Pt Au
2 4 1 3
direct
0.000 0.500 0.244
0.500 0.000 0.756
0.000 0.000 0.500
0.000 0.500 0.872
0.500 0.000 0.128
0.500 0.500 0.500
0.500 0.500 0.000
0.000 0.000 0.000
0.000 0.500 0.639
0.500 0.000 0.361


Pm3SmY5 (PBE, optimized geometry); spin magnetization = 0.00 μB/f.u.; total energy = -5.644 eV per atom
1.0
9.851 0.000 0.000
-4.926 8.532 0.000
0.000 0.000 7.105
Pm Sm Y
6 2 10
direct
0.000 0.356 0.250
0.000 0.644 0.750
0.356 0.000 0.250
0.356 0.356 0.750
0.644 0.000 0.750
0.644 0.644 0.250
0.000 0.000 0.000
0.000 0.000 0.500
0.000 0.314 0.750
0.000 0.686 0.250
0.314 0.000 0.750
0.314 0.314 0.250
0.333 0.667 0.000
0.333 0.667 0.500
0.667 0.333 0.000
0.667 0.333 0.500
0.686 0.000 0.250
0.686 0.686 0.750


TbPm3Pd2 (PBE, optimized geometry); spin magnetization = 0.00 μB/f.u.; total energy = -5.319 eV per atom
1.0
-3.519 7.009 3.633
3.519 -7.009 3.633
3.519 7.009 -3.633
Tb Pm Pd
2 6 4
direct
0.000 0.000 0.000
0.500 0.500 0.000
0.017 0.250 0.767
0.250 0.750 0.500
0.483 0.250 0.233
0.517 0.750 0.767
0.750 0.250 0.500
0.983 0.750 0.233
0.139 0.710 0.849
0.361 0.210 0.572
0.639 0.790 0.428
0.861 0.290 0.151


RbBa3S (PBE, optimized geometry); ΔE to the lowest computed polymorph = 0 meV/atom; spin magnetization = 0.00 μB/f.u.; formation energy from raw total energies = -0.6595 eV per atom
1.0
6.485 0.000 0.000
0.000 6.485 0.000
0.000 0.000 6.485
Rb Ba S
1 3 1
direct
0.000 0.000 0.000
0.000 0.500 0.500
0.500 0.000 0.500
0.500 0.500 0.000
0.500 0.500 0.500


YMgTl (PBE, optimized geometry); spin magnetization = 0.00 μB/f.u.; total energy = -3.704 eV per atom
1.0
5.189 0.000 0.000
-2.594 4.494 0.000
0.000 0.000 6.658
Y Mg Tl
2 2 2
direct
0.000 0.000 0.000
0.333 0.667 0.347
0.333 0.667 0.834
0.667 0.333 0.664
0.000 0.000 0.524
0.667 0.333 0.140


ZrCu2Pt (PBE, optimized geometry); spin magnetization = 0.00 μB/f.u.; total energy = -6.063 eV per atom
1.0
3.297 0.000 0.000
0.000 3.297 0.000
0.000 0.000 5.837
Zr Cu Pt
1 2 1
direct
0.000 0.000 0.000
0.000 0.000 0.487
0.500 0.500 0.294
0.500 0.500 0.740


K4Pu3AlS8 (PBE, optimized geometry); spin magnetization = 15.00 μB/f.u.; formation energy from raw total energies = -1.4267 eV per atom
1.0
4.028 2.325 7.294
-4.028 2.325 7.294
0.000 -4.651 7.294
K Pu Al S
4 3 1 8
direct
0.000 0.000 0.000
0.000 0.500 0.500
0.500 0.000 0.500
0.500 0.500 0.000
0.000 0.000 0.500
0.000 0.500 0.000
0.500 0.000 0.000
0.500 0.500 0.500
0.234 0.234 0.234
0.255 0.718 0.718
0.282 0.282 0.745
0.282 0.745 0.282
0.718 0.255 0.718
0.718 0.718 0.255
0.745 0.282 0.282
0.766 0.766 0.766


Li3ZnSn2 (PBE, optimized geometry); ΔE to the lowest computed polymorph = 0 meV/atom; spin magnetization = 0.00 μB/f.u.
1.0
-2.685 8.289 2.708
2.685 -8.289 2.708
2.685 8.289 -2.708
Li Zn Sn
6 2 4
direct
0.197 0.218 0.415
0.250 0.250 0.000
0.303 0.718 0.021
0.697 0.282 0.979
0.750 0.750 0.000
0.803 0.782 0.585
0.250 0.750 0.500
0.750 0.250 0.500
0.128 0.726 0.853
0.372 0.226 0.598
0.628 0.774 0.402
0.872 0.274 0.147


CaCo4Pt (PBE, optimized geometry); spin magnetization = 6.94 μB/f.u.; total energy = -6.075 eV per atom
1.0
0.000 3.474 3.474
3.474 0.000 3.474
3.474 3.474 0.000
Ca Co Pt
1 4 1
direct
0.000 0.000 0.000
0.126 0.625 0.625
0.625 0.126 0.625
0.625 0.625 0.126
0.625 0.625 0.625
0.250 0.250 0.250


AgSeIBr2 (PBE, optimized geometry); ΔE to the lowest computed polymorph = 143 meV/atom; spin magnetization = 0.00 μB/f.u.; formation energy from raw total energies = 0.3236 eV per atom
1.0
5.124 0.000 0.000
0.000 5.124 0.000
0.000 0.000 5.577
Ag Se I Br
1 1 1 2
direct
0.000 0.000 0.000
0.000 0.000 0.500
0.500 0.500 0.500
0.000 0.500 0.000
0.500 0.000 0.000


La2NiBr (PBE, optimized geometry); ΔE to the lowest computed polymorph = 368 meV/atom; spin magnetization = 0.95 μB/f.u.; formation energy from raw total energies = -0.5063 eV per atom
1.0
0.000 3.684 3.684
3.684 0.000 3.684
3.684 3.684 0.000
La Ni Br
2 1 1
direct
0.250 0.250 0.250
0.750 0.750 0.750
0.000 0.000 0.000
0.500 0.500 0.500


CdRh3 (PBE, optimized geometry); spin magnetization = 1.29 μB/f.u.; total energy = -5.519 eV per atom
1.0
4.429 2.557 0.924
-4.429 2.557 0.924
0.000 -5.114 0.924
Cd Rh
1 3
direct
0.000 0.000 0.000
0.000 0.500 0.500
0.500 0.000 0.500
0.500 0.500 0.000


Which of these has the highest spin magnetization? K4Pu3AlS8


Number 12 is which compound? CdRh3